[1]
Computed, not measured: a relaxed structure of Er8ScTe2 at the PBE level of DFT.

POSCAR file:
```
Er8ScTe2
1.0
7.1968 -4.3942 0.0000
7.1968 4.3942 0.0000
-0.5054 0.0000 5.7093
Er Sc Te
8 1 2
Cartesian
5.6973 2.7763 4.1582 Er
1.7131 0.0000 4.4485 Er
8.1910 2.7763 1.5510 Er
4.0216 0.0000 1.8999 Er
9.8667 0.0000 3.8093 Er
5.6973 -2.7763 4.1582 Er
12.1752 0.0000 1.2607 Er
8.1910 -2.7763 1.5510 Er
6.9441 0.0000 2.8546 Sc
4.8682 0.0000 4.9454 Te
9.0201 0.0000 0.7639 Te
```

Output
Energy relative to the elements, uncorrected ... -0.10 eV/atom
Space group ... C2/m (12)

***

[2]
Computed, not measured: a relaxed structure of ErSc3Te2 at the PBE level of DFT.

POSCAR file:
```
ErSc3Te2
1.0
7.5399 -2.0217 0.0000
7.5399 2.0217 0.0000
-4.9688 0.0000 10.1177
Er Sc Te
2 6 4
Cartesian
1.6809 0.0000 0.6486 Er
8.4302 0.0000 9.4691 Er
-1.1872 0.0000 3.7814 Sc
1.2520 0.0000 6.1944 Sc
3.7654 0.0000 3.9723 Sc
6.3457 0.0000 6.1453 Sc
8.8590 0.0000 3.9233 Sc
11.2982 0.0000 6.3363 Sc
-1.0899 0.0000 8.3341 Te
3.1315 0.0000 8.5202 Te
6.9796 0.0000 1.5974 Te
11.2010 0.0000 1.7836 Te
```

Output
Energy relative to the elements, uncorrected ... -0.77 eV/atom
Space group ... C2/m (12)

***

[3]
Computed, not measured: a relaxed structure of ErSc5Te4 at the PBE level of DFT.

POSCAR file:
```
ErSc5Te4
1.0
8.6469 0.0000 0.0000
0.0000 9.3614 0.0000
0.0000 0.0000 7.0476
Er Sc Te
2 10 8
Cartesian
2.1617 2.3404 1.0210 Er
6.4852 7.0211 6.0266 Er
0.5498 0.4700 5.3956 Sc
0.5498 4.2107 5.3956 Sc
2.1617 7.0211 5.6228 Sc
3.7736 0.4700 5.3956 Sc
3.7736 4.2107 5.3956 Sc
4.8732 5.1507 1.6521 Sc
4.8732 8.8915 1.6521 Sc
6.4852 2.3404 1.4249 Sc
8.0971 5.1507 1.6521 Sc
8.0971 8.8915 1.6521 Sc
0.0480 2.3404 3.1890 Te
2.1617 5.1888 0.6614 Te
2.1617 8.8534 0.6614 Te
4.2754 2.3404 3.1890 Te
4.3715 7.0211 3.8587 Te
6.4852 0.5080 6.3862 Te
6.4852 4.1727 6.3862 Te
8.5988 7.0211 3.8587 Te
```

Output
Energy relative to the elements, uncorrected ... -0.69 eV/atom
Space group ... Pmmn (59)

***

[4]
Computed, not measured: a relaxed structure of ErSc2Te2 at the PBE level of DFT.

POSCAR file:
```
ErSc2Te2
1.0
-2.0040 2.0040 8.4112
2.0040 -2.0040 8.4112
2.0040 2.0040 -8.4112
Er Sc Te
1 2 2
Cartesian
0.0000 0.0000 0.0000 Er
0.0000 0.0000 6.3289 Sc
0.0000 0.0000 10.4936 Sc
0.0000 0.0000 3.0005 Te
0.0000 0.0000 13.8220 Te
```

Output
Energy relative to the elements, uncorrected ... -0.82 eV/atom
Space group ... I4/mmm (139)